First-principles (PBE) data for a relaxed structure of GaCo3H, as listed in the Alexandria database.

Structure (CIF):
```
data_GaCo3H
_symmetry_space_group_name_H-M 'P 1'
_symmetry_Int_Tables_number 1
_cell_length_a 4.5178
_cell_length_b 4.9228
_cell_length_c 5.0977
_cell_angle_alpha 76.38
_cell_angle_beta 89.81
_cell_angle_gamma 62.79
loop_
_symmetry_equiv_pos_as_xyz
'x,y,z'
loop_
_atom_site_label
_atom_site_fract_x
_atom_site_fract_y
_atom_site_fract_z
Ga1 0.0000 0.0000 0.0000
Ga2 0.0484 0.4814 0.3982
Co1 0.0712 0.4929 0.8925
Co2 0.4966 0.9948 0.2401
Co3 0.5110 0.9765 0.7692
Co4 0.5678 0.4922 0.1322
Co5 0.5714 0.4684 0.6459
Co6 0.9972 0.9711 0.5105
H1 0.4009 0.8499 0.5314
H2 0.5887 0.2083 0.4426
```

Energy above the most stable polymorph in this dataset ... 52 meV per atom
Fermi-level density of states ... 0.89 states/eV/atom
Total DFT energy (no corrections) ... -5.592 eV/atom